Li5Nd2Tl3 after structural relaxation, computed with GGA-PBE.

```
data_Li5Nd2Tl3
_space_group_name_H-M_alt 'I b a m'
_space_group_IT_number 72
_space_group_name_Hall '-I 2 2c'
_cell_length_a 12.282
_cell_length_b 12.552
_cell_length_c 6.166
_cell_angle_alpha 90.00
_cell_angle_beta 90.00
_cell_angle_gamma 90.00
loop_
_atom_site_label
_atom_site_fract_x
_atom_site_fract_y
_atom_site_fract_z
Li1 0.000 0.000 0.250
Li2 0.141 0.373 0.000
Li3 0.239 0.000 0.250
Nd1 0.107 0.269 0.500
Tl1 0.000 0.500 0.250
Tl2 0.137 0.156 0.000
```

Output
formation enthalpy at 0 K = -19.1 kJ per mole of atoms
size of the total moment = 0.0 Bohr magnetons per cell